Arrangement P

DFT (PBE-GGA) results for a relaxed Ba8Cd2Pt crystal.

Calculated values
As for the crystal system: monoclinic.

abc: 21.365 6.004 8.060
angles: 90.00 105.83 90.00
Space group C2/m (No. 12)
Symmetry-distinct sites (fractional):
Ba  0.028  0.000  0.304 [4 per cell]
Ba  0.088  0.500  0.910 [4 per cell]
Ba  0.150  0.500  0.464 [4 per cell]
Ba  0.214  0.000  0.809 [4 per cell]
Cd  0.185  0.000  0.226 [4 per cell]
Pt  0.000  0.500  0.500 [2 per cell]

=====

Arrangement Q

DFT (PBE-GGA) results for a relaxed Ba8Cd2Pt crystal.

Calculated values
As for the crystal system: monoclinic.

abc: 22.953 4.730 10.448
angles: 90.00 91.18 90.00
Space group C2/m (No. 12)
Symmetry-distinct sites (fractional):
Ba  0.001  0.000  0.200 [4 per cell]
Ba  0.098  0.500  0.513 [4 per cell]
Ba  0.138  0.500  0.993 [4 per cell]
Ba  0.230  0.000  0.316 [4 per cell]
Cd  0.159  0.000  0.732 [4 per cell]
Pt  0.000  0.500  0.000 [2 per cell]

=====

What should be chosen as the least stable of them? Choose arrangement P.

=====

Arrangement P

DFT (PBE-GGA) results for a relaxed BaCd4Pt2 crystal.

Calculated values
As for the crystal system: orthorhombic.

abc: 4.487 16.548 4.522
angles: 90.00 90.00 90.00
Space group Cmmm (No. 65)
Symmetry-distinct sites (fractional):
Ba  0.000  0.000  0.000 [2 per cell]
Cd  0.000  0.182  0.500 [4 per cell]
Cd  0.000  0.317  0.000 [4 per cell]
Pt  0.000  0.421  0.500 [4 per cell]

=====

Arrangement Q

DFT (PBE-GGA) results for a relaxed BaCd4Pt2 crystal.

Calculated values
As for the crystal system: tetragonal.

abc: 8.501 8.501 4.545
angles: 90.00 90.00 90.00
Space group P4_2/mnm (No. 136)
Symmetry-distinct sites (fractional):
Ba  0.000  0.000  0.000 [2 per cell]
Cd  0.089  0.340  0.500 [8 per cell]
Pt  0.221  0.779  0.500 [4 per cell]

=====

What should be chosen as the least stable of them? Choose arrangement P.

=====

Arrangement P

DFT (PBE-GGA) results for a relaxed BaCd4Pt crystal.

Calculated values
As for the crystal system: cubic.

abc: 8.342 8.342 8.342
angles: 90.00 90.00 90.00
Space group F-43m (No. 216)
Symmetry-distinct sites (fractional):
Ba  0.000  0.000  0.000 [4 per cell]
Cd  0.123  0.123  0.623 [16 per cell]
Pt  0.250  0.250  0.250 [4 per cell]

=====

Arrangement Q

DFT (PBE-GGA) results for a relaxed BaCd4Pt crystal.

Calculated values
As for the crystal system: orthorhombic.

abc: 9.036 4.397 7.860
angles: 90.00 90.00 90.00
Space group Pmma (No. 51)
Symmetry-distinct sites (fractional):
Ba  0.250  0.000  0.096 [2 per cell]
Cd  0.000  0.000  0.500 [2 per cell]
Cd  0.059  0.500  0.794 [4 per cell]
Cd  0.250  0.500  0.452 [2 per cell]
Pt  0.250  0.000  0.695 [2 per cell]

=====

Arrangement R

DFT (PBE-GGA) results for a relaxed BaCd4Pt crystal.

Calculated values
As for the crystal system: monoclinic.

abc: 7.367 7.367 7.920
angles: 90.00 90.13 90.00
Space group C2/m (No. 12)
Symmetry-distinct sites (fractional):
Ba  0.000  0.000  0.000 [2 per cell]
Cd  0.000  0.500  0.172 [4 per cell]
Cd  0.250  0.250  0.500 [4 per cell]
Pt  0.000  0.500  0.500 [2 per cell]

=====

What should be chosen as the least stable of them? Choose arrangement P.

=====

Arrangement P

DFT (PBE-GGA) results for a relaxed BaSr2CdPt crystal.

Calculated values
As for the crystal system: tetragonal.

abc: 5.924 5.924 5.501
angles: 90.00 90.00 90.00
Space group P4/mmm (No. 123)
Symmetry-distinct sites (fractional):
Ba  0.000  0.000  0.000 [1 per cell]
Sr  0.000  0.500  0.500 [2 per cell]
Cd  0.500  0.500  0.000 [1 per cell]
Pt  0.500  0.500  0.500 [1 per cell]

=====

Arrangement Q

DFT (PBE-GGA) results for a relaxed BaSr2CdPt crystal.

Calculated values
As for the crystal system: tetragonal.

abc: 5.898 5.898 6.168
angles: 90.00 90.00 90.00
Space group P4/mmm (No. 123)
Symmetry-distinct sites (fractional):
Ba  0.000  0.000  0.000 [1 per cell]
Sr  0.000  0.500  0.500 [2 per cell]
Cd  0.500  0.500  0.000 [1 per cell]
Pt  0.000  0.000  0.500 [1 per cell]

=====

What should be chosen as the least stable of them? Choose arrangement P.

=====

Arrangement P

DFT (PBE-GGA) results for a relaxed BaTlCd2Pt crystal.

Calculated values
As for the crystal system: tetragonal.

abc: 5.297 5.297 6.662
angles: 90.00 90.00 90.00
Space group P4/mmm (No. 123)
Symmetry-distinct sites (fractional):
Ba  0.000  0.000  0.000 [1 per cell]
Tl  0.000  0.000  0.500 [1 per cell]
Cd  0.000  0.500  0.500 [2 per cell]
Pt  0.500  0.500  0.000 [1 per cell]

=====

Arrangement Q

DFT (PBE-GGA) results for a relaxed BaTlCd2Pt crystal.

Calculated values
As for the crystal system: tetragonal.

abc: 5.337 5.337 5.925
angles: 90.00 90.00 90.00
Space group P4/mmm (No. 123)
Symmetry-distinct sites (fractional):
Ba  0.000  0.000  0.000 [1 per cell]
Tl  0.500  0.500  0.000 [1 per cell]
Cd  0.000  0.500  0.500 [2 per cell]
Pt  0.000  0.000  0.500 [1 per cell]

=====

Arrangement R

DFT (PBE-GGA) results for a relaxed BaTlCd2Pt crystal.

Calculated values
As for the crystal system: tetragonal.

abc: 5.321 5.321 5.322
angles: 90.00 90.00 90.00
Space group P4/mmm (No. 123)
Symmetry-distinct sites (fractional):
Ba  0.000  0.000  0.000 [1 per cell]
Tl  0.500  0.500  0.000 [1 per cell]
Cd  0.000  0.500  0.500 [2 per cell]
Pt  0.500  0.500  0.500 [1 per cell]

=====

What should be chosen as the least stable of them? Choose arrangement P.

=====

Arrangement P

DFT (PBE-GGA) results for a relaxed BaTl2CdPt crystal.

Calculated values
As for the crystal system: tetragonal.

abc: 6.421 6.421 6.166
angles: 90.00 90.00 90.00
Space group P4/mmm (No. 123)
Symmetry-distinct sites (fractional):
Ba  0.000  0.000  0.000 [1 per cell]
Tl  0.000  0.500  0.000 [2 per cell]
Cd  0.000  0.000  0.500 [1 per cell]
Pt  0.500  0.500  0.500 [1 per cell]

=====

Arrangement Q

DFT (PBE-GGA) results for a relaxed BaTl2CdPt crystal.

Calculated values
As for the crystal system: tetragonal.

abc: 5.376 5.376 6.072
angles: 90.00 90.00 90.00
Space group P4/mmm (No. 123)
Symmetry-distinct sites (fractional):
Ba  0.000  0.000  0.000 [1 per cell]
Tl  0.000  0.500  0.500 [2 per cell]
Cd  0.500  0.500  0.000 [1 per cell]
Pt  0.000  0.000  0.500 [1 per cell]

=====

What should be chosen as the least stable of them? Choose arrangement P.